An optimized crystal structure of Hf4SiSe, computed with PBE.

a = 7.1100 Å, b = 7.1100 Å, c = 7.1100 Å
α = 105.87°, β = 105.87°, γ = 116.95°
Last column: nearest neighbours and their distance in Å.
Sites, in units of the cell vectors:
Hf 0.1891 0.4862 0.7029  1 Si 2.52, 2 Se 2.55-2.60
Hf 0.2362 0.0333 0.7971  1 Si 2.52, 2 Se 2.55-2.60
Hf 0.2362 0.4391 0.2029  1 Si 2.52, 2 Se 2.55-2.60
Hf 0.2912 0.0000 0.2912  2 Si 2.50-2.53, 1 Se 2.60
Hf 0.7088 0.0000 0.7088  2 Si 2.50-2.53, 1 Se 2.60
Hf 0.7500 0.5412 0.7912  2 Si 2.50-2.53, 1 Se 2.60
Hf 0.7500 0.9588 0.2088  2 Si 2.50-2.53, 1 Se 2.60
Hf 0.7833 0.4862 0.2971  1 Si 2.52, 2 Se 2.55-2.60
Si 0.7405 0.2405 0.5000  6 Hf 2.50-2.53
Si 0.9905 0.9905 0.0000  6 Hf 2.50-2.53
Se 0.2456 0.7456 0.5000  6 Hf 2.55-2.60
Se 0.4956 0.4956 0.0000  6 Hf 2.55-2.60

Summary:
The final energy comes out at -8.296 eV/atom.